No. 1
The following is a PBE calculation of a relaxed structure of La2PrCu2Si4Pt2, from OQMD.

Cell and atoms, written as CIF:
```
data_La2PrCu2Si4Pt2
_cell_length_a 4.179
_cell_length_b 4.258
_cell_length_c 24.443
_cell_angle_alpha 90.00
_cell_angle_beta 90.00
_cell_angle_gamma 90.00
_space_group_name_H-M_alt 'I m m m'
_space_group_IT_number 71
_space_group_name_Hall '-I 2 2'
loop_
_atom_site_label
_atom_site_type_symbol
_atom_site_fract_x
_atom_site_fract_y
_atom_site_fract_z
La1 La 0.000 0.000 0.146
Pr1 Pr 0.000 0.500 0.500
Cu1 Cu 0.000 0.000 0.404
Si1 Si 0.000 0.000 0.305
Si2 Si 0.000 0.500 0.049
Pt1 Pt 0.000 0.500 0.252
```

Output
The calculation puts the total energy at -5.8991 eV/atom.



No. 2
The following is a PBE calculation of a relaxed structure of La2PrCu4Si4, from OQMD.

Cell and atoms, written as CIF:
```
data_La2PrCu4Si4
_cell_length_a 4.172
_cell_length_b 4.223
_cell_length_c 23.915
_cell_angle_alpha 90.00
_cell_angle_beta 90.00
_cell_angle_gamma 90.00
_space_group_name_H-M_alt 'I m m m'
_space_group_IT_number 71
_space_group_name_Hall '-I 2 2'
loop_
_atom_site_label
_atom_site_type_symbol
_atom_site_fract_x
_atom_site_fract_y
_atom_site_fract_z
La1 La 0.000 0.000 0.151
Pr1 Pr 0.000 0.500 0.500
Cu1 Cu 0.000 0.000 0.403
Cu2 Cu 0.000 0.500 0.250
Si1 Si 0.000 0.000 0.303
Si2 Si 0.000 0.500 0.050
```

Output
The calculation puts the total energy at -5.2645 eV/atom.



No. 3
The following is a PBE calculation of a relaxed structure of LaPrCu4Si2, from OQMD.

Cell and atoms, written as CIF:
```
data_LaPrCu4Si2
_cell_length_a 4.1268
_cell_length_b 4.1268
_cell_length_c 9.9245
_cell_angle_alpha 90.00
_cell_angle_beta 90.00
_cell_angle_gamma 120.00
_space_group_name_H-M_alt 'P -6 m 2'
_space_group_IT_number 187
_space_group_name_Hall 'P -6 2'
loop_
_atom_site_label
_atom_site_type_symbol
_atom_site_fract_x
_atom_site_fract_y
_atom_site_fract_z
La1 La 0.0000 0.0000 0.0000
Pr1 Pr 0.3333 0.6667 0.5000
Cu1 Cu 0.0000 0.0000 0.3081
Cu2 Cu 0.3333 0.6667 0.1970
Si1 Si 0.6667 0.3333 0.2511
```

Output
The calculation puts the total energy at -4.8095 eV/atom.



No. 4
The following is a PBE calculation of a relaxed structure of LaPr2Zn2Cu2Si4, from OQMD.

Cell and atoms, written as CIF:
```
data_LaPr2Zn2Cu2Si4
_cell_length_a 4.186
_cell_length_b 4.220
_cell_length_c 24.264
_cell_angle_alpha 90.00
_cell_angle_beta 90.00
_cell_angle_gamma 90.00
_space_group_name_H-M_alt 'I m m m'
_space_group_IT_number 71
_space_group_name_Hall '-I 2 2'
loop_
_atom_site_label
_atom_site_type_symbol
_atom_site_fract_x
_atom_site_fract_y
_atom_site_fract_z
La1 La 0.000 0.000 0.000
Pr1 Pr 0.000 0.500 0.348
Zn1 Zn 0.000 0.500 0.099
Cu1 Cu 0.000 0.000 0.250
Si1 Si 0.000 0.000 0.451
Si2 Si 0.000 0.500 0.198
```

Output
The calculation puts the total energy at -4.7996 eV/atom. The value obtained for the relative energy among the computed polymorphs is 0.000 eV/atom.



No. 5
The following is a PBE calculation of a relaxed structure of LaPr2Zn2Cu2Si4, from OQMD.

Cell and atoms, written as CIF:
```
data_LaPr2Zn2Cu2Si4
_cell_length_a 4.180
_cell_length_b 4.206
_cell_length_c 24.539
_cell_angle_alpha 90.00
_cell_angle_beta 90.00
_cell_angle_gamma 90.00
_space_group_name_H-M_alt 'I m m m'
_space_group_IT_number 71
_space_group_name_Hall '-I 2 2'
loop_
_atom_site_label
_atom_site_type_symbol
_atom_site_fract_x
_atom_site_fract_y
_atom_site_fract_z
La1 La 0.000 0.000 0.000
Pr1 Pr 0.000 0.500 0.355
Zn1 Zn 0.000 0.000 0.250
Cu1 Cu 0.000 0.500 0.094
Si1 Si 0.000 0.000 0.451
Si2 Si 0.000 0.500 0.190
```

Output
The calculation puts the total energy at -4.7778 eV/atom. The value obtained for the relative energy among the computed polymorphs is 0.022 eV/atom.



No. 6
The following is a PBE calculation of a relaxed structure of LaPrCu2Sn4, from OQMD.

Cell and atoms, written as CIF:
```
data_LaPrCu2Sn4
_cell_length_a 4.608
_cell_length_b 4.504
_cell_length_c 18.792
_cell_angle_alpha 90.00
_cell_angle_beta 90.00
_cell_angle_gamma 90.00
_space_group_name_H-M_alt 'A m m 2'
_space_group_IT_number 38
loop_
_space_group_symop_operation_xyz
'x,y,z'
'-x,-y,z'
'-x,y,z'
'x,-y,z'
'x,y+1/2,z+1/2'
'-x,-y+1/2,z+1/2'
'-x,y+1/2,z+1/2'
'x,-y+1/2,z+1/2'
loop_
_atom_site_label
_atom_site_type_symbol
_atom_site_fract_x
_atom_site_fract_y
_atom_site_fract_z
La1 La 0.000 0.000 0.000
Pr1 Pr 0.500 0.000 0.788
Cu1 Cu 0.000 0.000 0.217
Cu2 Cu 0.500 0.000 0.571
Sn1 Sn 0.000 0.000 0.350
Sn2 Sn 0.000 0.000 0.644
Sn3 Sn 0.500 0.000 0.145
Sn4 Sn 0.500 0.000 0.436
```

Output
The calculation puts the total energy at -4.6582 eV/atom.